# 1
Entry from the Alexandria database: Sc4Ge6Ir7 at its PBEsol-relaxed geometry (SCAN).

Properties
Energy relative to the elements, eV per formula unit: -17.6
Final energy, eV per cell: -686.8
Total magnetic moment, μB per formula unit: 0.00

Structure (POSCAR):
```
Sc4Ge6Ir7
1.0
-4.0538 4.0538 4.0538
4.0538 -4.0538 4.0538
4.0538 4.0538 -4.0538
Sc Ge Ir
4 6 7
Direct
0.0000 0.0000 0.5000
0.0000 0.5000 0.0000
0.5000 0.0000 0.0000
0.5000 0.5000 0.5000
0.0000 0.3115 0.3115
0.0000 0.6885 0.6885
0.3115 0.0000 0.3115
0.3115 0.3115 0.0000
0.6885 0.0000 0.6885
0.6885 0.6885 0.0000
0.0000 0.0000 0.0000
0.2500 0.5000 0.7500
0.2500 0.7500 0.5000
0.5000 0.2500 0.7500
0.5000 0.7500 0.2500
0.7500 0.2500 0.5000
0.7500 0.5000 0.2500
```

---

# 2
Entry from the Alexandria database: MnBi2Cl at its PBEsol-relaxed geometry (SCAN).

Properties
Final energy, eV per cell: -183.0
Total magnetic moment, μB per formula unit: 4.34

Structure (POSCAR):
```
MnBi2Cl
1.0
0.0000 3.5917 3.5917
3.5917 0.0000 3.5917
3.5917 3.5917 0.0000
Mn Bi Cl
1 2 1
Direct
0.0000 0.0000 0.0000
0.2500 0.2500 0.2500
0.7500 0.7500 0.7500
0.5000 0.5000 0.5000
```

---

# 3
Entry from the Alexandria database: MgMn2Cr at its PBEsol-relaxed geometry (SCAN).

Properties
Energy relative to the elements, eV per formula unit: 0.4
Final energy, eV per cell: -59.4
Total magnetic moment, μB per formula unit: 2.00

Structure (POSCAR):
```
MgMn2Cr
1.0
0.0000 2.9492 2.9492
2.9492 0.0000 2.9492
2.9492 2.9492 0.0000
Mg Mn Cr
1 2 1
Direct
0.0000 0.0000 0.0000
0.5000 0.5000 0.5000
0.7500 0.7500 0.7500
0.2500 0.2500 0.2500
```

---

# 4
Entry from the Alexandria database: TaBeAg2 at its PBEsol-relaxed geometry (SCAN).

Properties
Energy relative to the elements, eV per formula unit: 1.3
Final energy, eV per cell: -132.4
Total magnetic moment, μB per formula unit: 0.00

Structure (POSCAR):
```
TaBeAg2
1.0
-1.3740 2.2902 4.6622
1.3740 -2.2902 4.6622
1.3740 2.2902 -4.6622
Ta Be Ag
1 1 2
Direct
0.0000 0.0000 0.0000
0.5000 0.5000 0.0000
0.2860 0.7860 0.5000
0.7140 0.2140 0.5000
```

---

# 5
Entry from the Alexandria database: SrCrRe at its PBEsol-relaxed geometry (SCAN).

Properties
Energy relative to the elements, eV per formula unit: 1.9
Final energy, eV per cell: -109.9
Total magnetic moment, μB per formula unit: 1.74

Structure (POSCAR):
```
SrCrRe
1.0
-1.5733 1.5733 6.0145
1.5733 -1.5733 6.0145
1.5733 1.5733 -6.0145
Sr Cr Re
1 1 1
Direct
0.0000 0.0000 0.0000
0.7130 0.7130 0.0000
0.2950 0.2950 0.0000
```

---

# 6
Entry from the Alexandria database: La5Y at its PBEsol-relaxed geometry (SCAN).

Properties
Energy relative to the elements, eV per formula unit: 0.1
Final energy, eV per cell: -243.2
Total magnetic moment, μB per formula unit: 0.00

Structure (POSCAR):
```
La5Y
1.0
2.5604 -7.6291 0.0000
2.5604 7.6291 0.0000
0.0000 0.0000 5.1103
La Y
5 1
Direct
0.0000 0.0000 0.0000
0.1681 0.8319 0.5000
0.3327 0.6673 0.0000
0.6673 0.3327 0.0000
0.8319 0.1681 0.5000
0.5000 0.5000 0.5000
```